[1]
Density functional theory data (GGA-PBE) for crystalline Sr4Bi6O19 at its relaxed geometry.

Summary:
For the uncorrected formation energy, the calculation gives -1.441 eV/atom. The calculation puts the size of the total moment at 0.16 μB/f.u. Its space group is No. 197.

a b c (Å): 8.5510 8.5510 8.5510
angles (deg): 109.47 109.47 109.47
Fractional coordinates of all 29 atoms:
Sr: 0.0000 0.0000 0.7151
Sr: 0.0000 0.7151 0.0000
Sr: 0.2849 0.2849 0.2849
Sr: 0.7151 0.0000 0.0000
Bi: 0.3337 0.5000 0.8337
Bi: 0.6663 0.5000 0.1663
Bi: 0.1663 0.6663 0.5000
Bi: 0.8337 0.3337 0.5000
Bi: 0.5000 0.8337 0.3337
Bi: 0.5000 0.1663 0.6663
O: 0.6436 0.0000 0.6436
O: 0.3564 0.0000 0.3564
O: 0.3564 0.3564 0.0000
O: 0.6436 0.6436 0.0000
O: 0.0000 0.6436 0.6436
O: 0.0000 0.3564 0.3564
O: 0.0000 0.0000 0.0000
O: 0.3159 0.2794 0.6030
O: 0.6841 0.2871 0.9635
O: 0.6763 0.7129 0.3970
O: 0.9635 0.6841 0.2871
O: 0.3237 0.7206 0.0365
O: 0.6030 0.3159 0.2794
O: 0.0365 0.3237 0.7206
O: 0.3970 0.6763 0.7129
O: 0.7206 0.0365 0.3237
O: 0.2871 0.9635 0.6841
O: 0.2794 0.6030 0.3159
O: 0.7129 0.3970 0.6763

[2]
Density functional theory data (GGA-PBE) for crystalline Ac4Ni2Ag at its relaxed geometry.

Summary:
The calculation puts the size of the total moment at 0.00 μB/f.u. Its space group is No. 15. The calculation puts the formation energy at -0.1425 eV/atom.

a b c (Å): 8.4462 8.4463 8.4558
angles (deg): 108.98 108.93 110.47
Fractional coordinates of all 14 atoms:
Ac: 0.9136 0.2262 0.3131
Ac: 0.3363 0.5238 0.1868
Ac: 0.9131 0.6006 0.6870
Ac: 0.7738 0.0863 0.6867
Ac: 0.3995 0.0870 0.3132
Ac: 0.3370 0.1494 0.8131
Ac: 0.4762 0.6636 0.8132
Ac: 0.8504 0.6630 0.1869
Ni: 0.6250 0.3750 0.7500
Ni: 0.6249 0.8750 0.2500
Ni: 0.6250 0.3750 0.2500
Ni: 0.1250 0.3750 0.7500
Ag: 0.2495 0.7494 0.5000
Ag: 0.0005 0.0006 0.0000

[3]
Density functional theory data (GGA-PBE) for crystalline LaSm2Zn2 at its relaxed geometry.

Summary:
The calculation puts the size of the total moment at 0.00 μB/f.u. Its space group is No. 11. The calculation puts the formation energy at -0.2423 eV/atom.

a b c (Å): 3.7222 5.3451 13.7226
angles (deg): 90.00 97.80 90.00
Fractional coordinates of all 10 atoms:
La: 0.8568 0.7500 0.7157
La: 0.1432 0.2500 0.2843
Sm: 0.0471 0.7500 0.0942
Sm: 0.9529 0.2500 0.9058
Sm: 0.2320 0.7500 0.4643
Sm: 0.7680 0.2500 0.5357
Zn: 0.6412 0.7500 0.2803
Zn: 0.3588 0.2500 0.7197
Zn: 0.4536 0.7500 0.9085
Zn: 0.5464 0.2500 0.0915

[4]
Density functional theory data (GGA-PBE) for crystalline HfZr2Hg2 at its relaxed geometry.

Summary:
The calculation puts the size of the total moment at 0.00 μB/f.u. Its space group is No. 65. The calculation puts the formation energy at -0.0704 eV/atom.

a b c (Å): 3.1715 3.1851 11.4962
angles (deg): 82.04 90.00 90.00
Fractional coordinates of all 5 atoms:
Hf: 0.0000 0.0000 0.0000
Zr: 0.5000 0.4031 0.1938
Zr: 0.5000 0.5969 0.8062
Hg: 0.0000 0.1942 0.6117
Hg: 0.0000 0.8058 0.3883

[5]
Density functional theory data (GGA-PBE) for crystalline CuIrBr2 at its relaxed geometry.

Summary:
For the uncorrected formation energy, the calculation gives 0.670 eV/atom. The calculation puts the size of the total moment at 0.57 μB/f.u. Its space group is No. 166.

a b c (Å): 6.1675 6.1675 6.1675
angles (deg): 37.46 37.46 37.46
Fractional coordinates of all 4 atoms:
Br: 0.0062 0.0062 0.0062
Br: 0.4938 0.4938 0.4938
Cu: 0.2500 0.2500 0.2500
Ir: 0.7500 0.7500 0.7500

[6]
Density functional theory data (GGA-PBE) for crystalline RbPdW2 at its relaxed geometry.

Summary:
The calculation puts the size of the total moment at 0.00 μB/f.u. Its space group is No. 122. The calculation puts the formation energy at 1.8139 eV/atom.

a b c (Å): 4.8655 4.8655 10.1081
angles (deg): 76.07 76.07 90.00
Fractional coordinates of all 8 atoms:
Rb: 0.5000 0.5000 0.0000
Rb: 0.2500 0.7500 0.5000
Pd: 0.0000 0.0000 0.0000
Pd: 0.7500 0.2500 0.5000
W: 0.8526 0.1250 0.2500
W: 0.8974 0.6250 0.2500
W: 0.3750 0.1474 0.7500
W: 0.8750 0.1026 0.7500

[7]
Density functional theory data (GGA-PBE) for crystalline Ca2Zn3CuGe4 at its relaxed geometry.

Summary:
The calculation puts the size of the total moment at 0.00 μB/f.u. Its space group is No. 115. The calculation puts the formation energy at -0.3295 eV/atom.

a b c (Å): 4.2180 4.2180 10.8279
angles (deg): 90.00 90.00 90.00
Fractional coordinates of all 10 atoms:
Ca: 0.5000 0.0000 0.2627
Ca: 0.0000 0.5000 0.7373
Zn: 0.0000 0.0000 0.5000
Zn: 0.5000 0.0000 0.8572
Zn: 0.0000 0.5000 0.1428
Cu: 0.5000 0.5000 0.5000
Ge: 0.5000 0.5000 0.0000
Ge: 0.0000 0.0000 0.0000
Ge: 0.5000 0.0000 0.6317
Ge: 0.0000 0.5000 0.3683

[8]
Density functional theory data (GGA-PBE) for crystalline HfMn2OsPd at its relaxed geometry.

Summary:
The calculation puts the size of the total moment at 7.83 μB/f.u. Its space group is No. 123. The calculation puts the formation energy at 0.8741 eV/atom.

a b c (Å): 4.7227 4.9089 4.7227
angles (deg): 90.00 90.00 90.00
Fractional coordinates of all 5 atoms:
Hf: 0.0000 0.5000 0.0000
Mn: 0.0000 0.0000 0.5000
Mn: 0.5000 0.0000 0.0000
Os: 0.0000 0.0000 0.0000
Pd: 0.5000 0.5000 0.5000

[9]
Density functional theory data (GGA-PBE) for crystalline Dy8Y2Tm at its relaxed geometry.

Summary:
The calculation puts the size of the total moment at 0.00 μB/f.u. Its space group is No. 12. The calculation puts the formation energy at 0.1705 eV/atom.

a b c (Å): 6.6146 10.1434 10.1434
angles (deg): 38.12 59.56 59.56
Fractional coordinates of all 11 atoms:
Dy: 0.2256 0.3491 0.8258
Dy: 0.7744 0.1742 0.6509
Dy: 0.1728 0.7547 0.7547
Dy: 0.8272 0.2453 0.2453
Dy: 0.2256 0.8258 0.3491
Dy: 0.7744 0.6509 0.1742
Dy: 0.7263 0.5890 0.5890
Dy: 0.2737 0.4110 0.4110
Y: 0.5938 0.8006 0.8006
Y: 0.4062 0.1994 0.1994
Tm: 0.0000 0.0000 0.0000

[10]
Density functional theory data (GGA-PBE) for crystalline BaZnCdAg3 at its relaxed geometry.

Summary:
The calculation puts the size of the total moment at 0.00 μB/f.u. Its space group is No. 63. The calculation puts the formation energy at -0.0606 eV/atom.

a b c (Å): 6.2572 7.3654 7.6635
angles (deg): 118.72 90.00 90.00
Fractional coordinates of all 12 atoms:
Ba: 0.7500 0.2867 0.5734
Ba: 0.2500 0.7133 0.4266
Zn: 0.2500 0.3740 0.7479
Zn: 0.7500 0.6260 0.2521
Cd: 0.2500 0.9639 0.9278
Cd: 0.7500 0.0361 0.0722
Ag: 0.2500 0.1743 0.3486
Ag: 0.0000 0.3079 0.0000
Ag: 0.5000 0.6921 0.0000
Ag: 0.5000 0.3079 0.0000
Ag: 0.0000 0.6921 0.0000
Ag: 0.7500 0.8257 0.6514

[11]
Density functional theory data (GGA-PBE) for crystalline La4Tl2Hg at its relaxed geometry.

Summary:
The calculation puts the size of the total moment at 0.00 μB/f.u. Its space group is No. 139. The calculation puts the formation energy at -0.1073 eV/atom.

a b c (Å): 6.0258 6.0258 8.0465
angles (deg): 111.99 111.99 90.00
Fractional coordinates of all 7 atoms:
La: 0.7500 0.2500 0.5000
La: 0.2500 0.7500 0.5000
La: 0.5000 0.0000 0.0000
La: 0.0000 0.5000 0.0000
Tl: 0.6261 0.6261 0.2523
Tl: 0.3739 0.3739 0.7477
Hg: 0.0000 0.0000 0.0000

[12]
Density functional theory data (GGA-PBE) for crystalline Hf3HgC at its relaxed geometry.

Summary:
The calculation puts the size of the total moment at 0.00 μB/f.u. Its space group is No. 14. The calculation puts the formation energy at -0.3248 eV/atom.

a b c (Å): 23.7209 5.8337 9.2362
angles (deg): 90.00 162.97 90.00
Fractional coordinates of all 20 atoms:
C: 0.5292 0.7454 0.6599
C: 0.4708 0.2546 0.3401
C: 0.9708 0.2454 0.8401
C: 0.0292 0.7546 0.1599
Hf: 0.2975 0.9174 0.9469
Hf: 0.7025 0.0826 0.0531
Hf: 0.2025 0.4174 0.5531
Hf: 0.7975 0.5826 0.4469
Hf: 0.3501 0.4288 0.2397
Hf: 0.6499 0.5712 0.7603
Hf: 0.1499 0.9288 0.2603
Hf: 0.8501 0.0712 0.7397
Hf: 0.4183 0.8748 0.5972
Hf: 0.5817 0.1252 0.4028
Hf: 0.0817 0.3748 0.9028
Hf: 0.9183 0.6252 0.0972
Hg: 0.9982 0.1712 0.3922
Hg: 0.0018 0.8288 0.6078
Hg: 0.5018 0.6712 0.1078
Hg: 0.4982 0.3288 0.8922

[13]
Density functional theory data (GGA-PBE) for crystalline TlGaSeF2 at its relaxed geometry.

Summary:
For the uncorrected formation energy, the calculation gives -1.405 eV/atom. The calculation puts the size of the total moment at 0.00 μB/f.u. Its space group is No. 123.

a b c (Å): 4.2765 4.2765 5.1459
angles (deg): 90.00 90.00 90.00
Fractional coordinates of all 5 atoms:
Tl: 0.5000 0.5000 0.5000
Ga: 0.0000 0.0000 0.0000
Se: 0.0000 0.0000 0.5000
F: 0.0000 0.5000 0.0000
F: 0.5000 0.0000 0.0000

[14]
Density functional theory data (GGA-PBE) for crystalline BaFe3As at its relaxed geometry.

Summary:
The calculation puts the size of the total moment at 0.45 μB/f.u. Its space group is No. 221. The calculation puts the formation energy at 0.8114 eV/atom.

a b c (Å): 4.5426 4.5426 4.5426
angles (deg): 90.00 90.00 90.00
Fractional coordinates of all 5 atoms:
As: 0.0000 0.0000 0.0000
Ba: 0.5000 0.5000 0.5000
Fe: 0.0000 0.5000 0.0000
Fe: 0.0000 0.0000 0.5000
Fe: 0.5000 0.0000 0.0000

[15]
Density functional theory data (GGA-PBE) for crystalline La2Mo2W at its relaxed geometry.

Summary:
The calculation puts the size of the total moment at 0.00 μB/f.u. Its space group is No. 127. The calculation puts the formation energy at 1.3924 eV/atom.

a b c (Å): 8.1846 8.1846 3.1736
angles (deg): 90.00 90.00 90.00
Fractional coordinates of all 10 atoms:
Mo: 0.1592 0.6592 0.5000
Mo: 0.6592 0.8408 0.5000
Mo: 0.8408 0.3408 0.5000
Mo: 0.3408 0.1592 0.5000
W: 0.0000 0.0000 0.0000
W: 0.5000 0.5000 0.0000
La: 0.3462 0.8462 0.0000
La: 0.8462 0.6538 0.0000
La: 0.6538 0.1538 0.0000
La: 0.1538 0.3462 0.0000

[16]
Density functional theory data (GGA-PBE) for crystalline CuRh4Cl at its relaxed geometry.

Summary:
For the uncorrected formation energy, the calculation gives 0.784 eV/atom. The calculation puts the size of the total moment at 3.25 μB/f.u. Its space group is No. 216.

a b c (Å): 5.1912 5.1912 5.1912
angles (deg): 60.00 60.00 60.00
Fractional coordinates of all 6 atoms:
Cu: 0.0000 0.0000 0.0000
Rh: 0.8745 0.3752 0.3752
Rh: 0.3752 0.3752 0.8745
Rh: 0.3752 0.8745 0.3752
Rh: 0.3752 0.3752 0.3752
Cl: 0.7500 0.7500 0.7500

[17]
Density functional theory data (GGA-PBE) for crystalline Cr2HgRu at its relaxed geometry.

Summary:
The calculation puts the size of the total moment at 5.94 μB/f.u. Its space group is No. 139. The calculation puts the formation energy at 0.5425 eV/atom.

a b c (Å): 4.7257 4.7257 4.7257
angles (deg): 128.86 128.86 75.24
Fractional coordinates of all 4 atoms:
Cr: 0.0000 0.0000 0.0000
Cr: 0.5000 0.5000 0.0000
Hg: 0.2500 0.7500 0.5000
Ru: 0.7500 0.2500 0.5000

[18]
Density functional theory data (GGA-PBE) for crystalline Li8LaIn3 at its relaxed geometry.

Summary:
The calculation puts the size of the total moment at 0.00 μB/f.u. Its space group is No. 156. The calculation puts the formation energy at -0.1555 eV/atom.

a b c (Å): 5.4537 5.4537 9.3930
angles (deg): 90.00 90.00 120.00
Fractional coordinates of all 12 atoms:
Li: 0.3333 0.6667 0.4817
Li: 0.3333 0.6667 0.9987
Li: 0.5042 0.0083 0.7705
Li: 0.5042 0.4958 0.7705
Li: 0.9917 0.4958 0.7705
Li: 0.1614 0.3227 0.2354
Li: 0.1614 0.8386 0.2354
Li: 0.6773 0.8386 0.2354
La: 0.0000 0.0000 0.5701
In: 0.6667 0.3333 0.4258
In: 0.6667 0.3333 0.0675
In: 0.0000 0.0000 0.9384

[19]
Density functional theory data (GGA-PBE) for crystalline In2TeHAu at its relaxed geometry.

Summary:
The calculation puts the size of the total moment at 0.00 μB/f.u. Its space group is No. 123. The total energy is -3.09 eV/atom.

a b c (Å): 5.6195 5.6195 3.6422
angles (deg): 90.00 90.00 90.00
Fractional coordinates of all 5 atoms:
H: 0.0000 0.0000 0.5000
Te: 0.5000 0.5000 0.5000
Au: 0.0000 0.0000 0.0000
In: 0.0000 0.5000 0.0000
In: 0.5000 0.0000 0.0000

[20]
Density functional theory data (GGA-PBE) for crystalline Sm5ZnCd4 at its relaxed geometry.

Summary:
The calculation puts the size of the total moment at 1.16 μB/f.u. Its space group is No. 123. The calculation puts the formation energy at -0.3160 eV/atom.

a b c (Å): 3.7481 3.7481 19.1944
angles (deg): 90.00 90.00 90.00
Fractional coordinates of all 10 atoms:
Sm: 0.5000 0.5000 0.0898
Sm: 0.5000 0.5000 0.2959
Sm: 0.5000 0.5000 0.5000
Sm: 0.5000 0.5000 0.7041
Sm: 0.5000 0.5000 0.9102
Zn: 0.0000 0.0000 0.0000
Cd: 0.0000 0.0000 0.1936
Cd: 0.0000 0.0000 0.3982
Cd: 0.0000 0.0000 0.6018
Cd: 0.0000 0.0000 0.8064